Entry 1:
Below is a geometry-optimized HoAs2Pd structure, with properties calculated at the PBE-GGA level.

abc: 3.4871 3.4871 26.5675
angles: 90.00 90.00 120.00
Space group R-3m (No. 166, hexagonal axes)
Asymmetric unit:
Ho (0.0000, 0.0000, 0.0000) [3 per cell]
As (0.0000, 0.0000, 0.1071) [6 per cell]
Pd (0.0000, 0.0000, 0.5000) [3 per cell]

The calculation puts the formation energy at -108 meV per atom. The uncorrected energy is -4.8752 eV per atom.

Entry 2:
Below is a geometry-optimized Y3Co2Si4 structure, with properties calculated at the PBE-GGA level.

abc: 10.5622 4.0309 7.8563
angles: 90.00 106.99 90.00
Space group C2/m (No. 12)
Asymmetric unit:
Y (0.0000, 0.0000, 0.0000) [2 per cell]
Y (0.1163, 0.5000, 0.6935) [4 per cell]
Co (0.1933, 0.5000, 0.3678) [4 per cell]
Si (0.1061, 0.0000, 0.4040) [4 per cell]
Si (0.2179, 0.5000, 0.0800) [4 per cell]

The uncorrected energy is -6.9200 eV per atom.

Look up the uncorrected energy of the first one. -4.8752 eV per atom

Please write out number 2 again, unchanged.
Below is a geometry-optimized Y3Co2Si4 structure, with properties calculated at the PBE-GGA level.

abc: 10.5622 4.0309 7.8563
angles: 90.00 106.99 90.00
Space group C2/m (No. 12)
Asymmetric unit:
Y (0.0000, 0.0000, 0.0000) [2 per cell]
Y (0.1163, 0.5000, 0.6935) [4 per cell]
Co (0.1933, 0.5000, 0.3678) [4 per cell]
Si (0.1061, 0.0000, 0.4040) [4 per cell]
Si (0.2179, 0.5000, 0.0800) [4 per cell]

The uncorrected energy is -6.9200 eV per atom.

Which of these has the highest uncorrected energy? HoAs2Pd